Compound: HgSbTe2
Source: Alexandria
Functional: PBE
Structure: relaxed

Lattice parameters (Å, degrees): 6.8685 6.8685 3.1188 84.68 84.68 126.27
With the nearest neighbours (Å) after each atom.
Fractional positions:
Sb  0.0000  0.5000  0.5000  2 Hg 3.10, 2 Sb 3.12
Hg  0.5000  0.0000  0.5000  2 Sb 3.10, 2 Hg 3.12
Te  0.5000  0.5000  0.0000  4 Te 3.10-3.12
Te  0.0000  0.0000  0.0000  4 Te 3.10-3.12

Results
Excess energy over the best structure of this formula in the dataset, eV per atom: 0.284
Formation energy (no corrections), eV/atom: 0.205
Total magnetization, μB per formula unit: 0.000
DOS(E_F), states/eV/atom: 0.615
Total DFT energy (no corrections), hartree per atom: -0.09086